Entry A
## Tm3InIr (PBE-GGA)

Data for an optimized crystal structure of Tm3InIr.

Calculated values
Crystal system: triclinic
Space-group type: P-1

POSCAR file:
```
Tm3InIr
1.0
5.469 0.000 0.000
-2.551 5.586 0.000
-1.442 -2.483 8.230
Tm In Ir
6 2 2
direct
0.044 0.176 0.278 Tm
0.290 0.445 0.736 Tm
0.301 0.800 0.103 Tm
0.699 0.200 0.897 Tm
0.710 0.555 0.264 Tm
0.956 0.824 0.722 Tm
0.343 0.746 0.483 In
0.657 0.254 0.517 In
0.245 0.245 0.999 Ir
0.755 0.755 0.001 Ir
```



Entry B
## Tm3InIr (PBE-GGA)

Data for an optimized crystal structure of Tm3InIr.

Calculated values
Crystal system: orthorhombic
Space-group type: Pmmn

POSCAR file:
```
Tm3InIr
1.0
4.730 0.000 0.000
0.000 6.725 0.000
0.000 0.000 8.226
Tm In Ir
6 2 2
direct
0.250 0.005 0.154 Tm
0.250 0.495 0.154 Tm
0.250 0.750 0.558 Tm
0.750 0.250 0.442 Tm
0.750 0.505 0.846 Tm
0.750 0.995 0.846 Tm
0.250 0.250 0.686 In
0.750 0.750 0.314 In
0.250 0.750 0.888 Ir
0.750 0.250 0.112 Ir
```



Order from most stable to least stable according to the calculation: entry A, entry B